{
  "formula": "PmP5",
  "functional": "PBE",
  "state": "relaxed",
  "e_tot_ev_per_atom": -5.839,
  "polymorph_energy_ev_per_atom": 0.0000,
  "formation_energy_ev_per_atom": -0.539,
  "cell": [[5.025, 0.046, 0.000], [-1.193, 5.313, 0.000], [0.000, 0.000, 9.561]],
  "species": ["Pm", "Pm", "P", "P", "P", "P", "P", "P", "P", "P", "P", "P"],
  "frac_coords": [[0.992, 0.652, 0.250], [0.008, 0.348, 0.750], [0.715, 0.102, 0.250], [0.285, 0.898, 0.750], [0.385, 0.047, 0.409], [0.615, 0.953, 0.909], [0.615, 0.953, 0.591], [0.385, 0.047, 0.091], [0.291, 0.403, 0.470], [0.709, 0.597, 0.970], [0.709, 0.597, 0.530], [0.291, 0.403, 0.030]]
}